No. 1
The following is a PBE-GGA calculation of an optimized crystal structure of Ce6TlPb2, from the Alexandria database.

Cell: 3.2843 9.1600 9.1601 Å, 120.00 90.00 90.00°
Last column: nearest neighbours and their distance in Å.
Element x y z (fractional)
Ce: 0.5000 0.3287 0.0000  5 Ce 3.01-3.28
Tl: 0.0000 0.0000 0.0000  2 Tl 3.28, 12 Ce 3.43
Ce: 0.5000 0.0000 0.6713  5 Ce 3.01-3.28
Pb: 0.0000 0.6667 0.3333  2 Pb 3.28, 12 Ce 3.49
Ce: 0.5000 0.3287 0.3287  5 Ce 3.01-3.28
Ce: 0.5000 0.6713 0.6713  5 Ce 3.01-3.28
Pb: 0.0000 0.3333 0.6667  2 Pb 3.28, 12 Ce 3.49
Ce: 0.5000 0.0000 0.3287  5 Ce 3.01-3.28
Ce: 0.5000 0.6713 0.0000  5 Ce 3.01-3.28

Values from the calculation:
Space-group type: P6/mmm (191)
E_tot, eV/atom: -5.189
Spin magnetization, μB/f.u.: 5.03
Distance to the lowest polymorph of the same formula, meV/atom: 0.0

---

No. 2
The following is a PBE-GGA calculation of an optimized crystal structure of Ce4TlPb5, from the Alexandria database.

Cell: 8.2000 11.1115 7.1523 Å, 90.00 90.00 90.00°
Last column: nearest neighbours and their distance in Å.
Element x y z (fractional)
Ce: 0.5018 0.3207 0.5000  5 Pb 3.33-3.56, 1 Tl 3.35
Pb: 0.1749 0.7013 0.2128  1 Tl 3.04, 2 Pb 3.04-3.11, 3 Ce 3.33-3.39
Pb: 0.1749 0.2987 0.2128  1 Tl 3.04, 2 Pb 3.04-3.11, 3 Ce 3.33-3.39
Ce: 0.8425 0.5000 0.7720  1 Ce 3.26, 5 Pb 3.29-3.53, 1 Tl 3.34
Ce: 0.4982 0.8207 0.0000  5 Pb 3.33-3.56, 1 Tl 3.35
Pb: 0.5055 0.0000 0.5000  4 Ce 3.29-3.56
Ce: 0.5018 0.6793 0.5000  5 Pb 3.33-3.56, 1 Tl 3.35
Pb: 0.1749 0.2987 0.7872  1 Tl 3.04, 2 Pb 3.04-3.11, 3 Ce 3.33-3.39
Ce: 0.1575 0.0000 0.2720  1 Ce 3.26, 5 Pb 3.29-3.53, 1 Tl 3.34
Tl: 0.1741 0.5000 0.5000  4 Pb 3.04, 4 Ce 3.34-3.35
Ce: 0.4982 0.1793 0.0000  5 Pb 3.33-3.56, 1 Tl 3.35
Tl: 0.8259 0.0000 0.0000  4 Pb 3.04, 4 Ce 3.34-3.35
Pb: 0.1749 0.7013 0.7872  1 Tl 3.04, 2 Pb 3.04-3.11, 3 Ce 3.33-3.39
Ce: 0.1575 0.0000 0.7280  1 Ce 3.26, 5 Pb 3.29-3.53, 1 Tl 3.34
Pb: 0.4945 0.5000 0.0000  4 Ce 3.29-3.56
Pb: 0.8251 0.7987 0.2872  1 Tl 3.04, 2 Pb 3.04-3.11, 3 Ce 3.33-3.39
Ce: 0.8425 0.5000 0.2280  1 Ce 3.26, 5 Pb 3.29-3.53, 1 Tl 3.34
Pb: 0.8251 0.2013 0.7128  1 Tl 3.04, 2 Pb 3.04-3.11, 3 Ce 3.33-3.39
Pb: 0.8251 0.7987 0.7128  1 Tl 3.04, 2 Pb 3.04-3.11, 3 Ce 3.33-3.39
Pb: 0.8251 0.2013 0.2872  1 Tl 3.04, 2 Pb 3.04-3.11, 3 Ce 3.33-3.39

Values from the calculation:
Space-group type: Pmmn (59)
E_tot, eV/atom: -4.481
Spin magnetization, μB/f.u.: 4.53
Distance to the lowest polymorph of the same formula, meV/atom: 300.2

---

No. 3
The following is a PBE-GGA calculation of an optimized crystal structure of CeTlPb4, from the Alexandria database.

Cell: 6.5242 6.5242 6.5242 Å, 60.00 60.00 60.00°
Last column: nearest neighbours and their distance in Å.
Element x y z (fractional)
Pb: 0.6244 0.6244 0.1268  6 Pb 3.25-3.28
Pb: 0.1268 0.6244 0.6244  6 Pb 3.25-3.28
Pb: 0.6244 0.1268 0.6244  6 Pb 3.25-3.28
Ce: 0.2500 0.2500 0.2500  12 Pb 3.82, 4 Tl 4.00
Pb: 0.6244 0.6244 0.6244  6 Pb 3.25-3.28
Tl: 0.0000 0.0000 0.0000  12 Pb 3.83, 4 Ce 4.00

Values from the calculation:
Space-group type: F-43m (216)
E_tot, eV/atom: -3.899
Spin magnetization, μB/f.u.: 1.25
Distance to the lowest polymorph of the same formula, meV/atom: 0.0

---

No. 4
The following is a PBE-GGA calculation of an optimized crystal structure of Ce2TlPb, from the Alexandria database.

Cell: 3.4062 3.4062 11.4712 Å, 81.46 81.46 60.00°
Last column: nearest neighbours and their distance in Å.
Element x y z (fractional)
Tl: 0.4999 0.4999 0.5003  6 Tl 3.41, 6 Ce 3.43-3.44
Ce: 0.0836 0.0836 0.7491  6 Ce 3.41, 3 Tl 3.43, 3 Pb 3.45
Pb: 0.6667 0.6667 0.0000  6 Pb 3.41, 6 Ce 3.45
Ce: 0.2498 0.2498 0.2506  6 Ce 3.41, 3 Tl 3.44, 3 Pb 3.45

Values from the calculation:
Space-group type: R3m (160)
E_tot, eV/atom: -4.650
Spin magnetization, μB/f.u.: 1.39

---

No. 5
The following is a PBE-GGA calculation of an optimized crystal structure of Ce6TlPb, from the Alexandria database.

Cell: 4.8273 4.8273 9.6509 Å, 90.00 90.00 90.00°
Last column: nearest neighbours and their distance in Å.
Element x y z (fractional)
Ce: 0.0000 0.5000 0.7499  8 Ce 3.41, 2 Tl 3.41, 2 Pb 3.41
Pb: 0.0000 0.0000 0.0000  12 Ce 3.41
Ce: 0.5000 0.5000 0.5000  8 Ce 3.41, 4 Tl 3.41
Ce: 0.5000 0.0000 0.2501  2 Tl 3.41, 8 Ce 3.41, 2 Pb 3.41
Ce: 0.5000 0.5000 0.0000  4 Pb 3.41, 8 Ce 3.41
Tl: 0.0000 0.0000 0.5000  12 Ce 3.41
Ce: 0.0000 0.5000 0.2501  2 Tl 3.41, 8 Ce 3.41, 2 Pb 3.41
Ce: 0.5000 0.0000 0.7499  8 Ce 3.41, 2 Tl 3.41, 2 Pb 3.41

Values from the calculation:
Space-group type: P4/mmm (123)
E_tot, eV/atom: -5.405
Spin magnetization, μB/f.u.: 5.78

---

No. 6
The following is a PBE-GGA calculation of an optimized crystal structure of Ce5Tl2Pb2, from the Alexandria database.

Cell: 5.7591 9.7277 10.9182 Å, 116.45 105.29 90.00°
Last column: nearest neighbours and their distance in Å.
Element x y z (fractional)
Pb: 0.0000 0.8917 0.0000  2 Tl 3.20, 6 Ce 3.28-3.34
Ce: 0.6583 0.7737 0.1411  1 Ce 2.82
Ce: 0.3314 0.1885 0.6457  1 Ce 2.72
Ce: 0.2538 0.7820 0.5000  2 Tl 3.18, 3 Pb 3.26-3.33, 4 Ce 3.51-3.52
Tl: 0.1603 0.6205 0.1632  5 Ce 3.18-3.42, 1 Tl 3.18, 1 Pb 3.20
Ce: 0.0172 0.1326 0.8589  1 Ce 2.82
Tl: 0.4971 0.9573 0.8368  5 Ce 3.18-3.42, 1 Tl 3.18, 1 Pb 3.20
Tl: 0.8397 0.4573 0.8368  5 Ce 3.18-3.42, 1 Tl 3.18, 1 Pb 3.20
Tl: 0.5029 0.1205 0.1632  5 Ce 3.18-3.42, 1 Tl 3.18, 1 Pb 3.20
Ce: 0.6686 0.5429 0.3543  1 Ce 2.72
Ce: 0.3417 0.6326 0.8589  1 Ce 2.82
Ce: 0.8143 0.6885 0.6457  1 Ce 2.72
Pb: 0.2398 0.4468 0.5000  11 Ce 3.26-3.59
Pb: 0.5000 0.3917 0.0000  2 Tl 3.20, 6 Ce 3.28-3.34
Pb: 0.7602 0.9468 0.5000  11 Ce 3.26-3.59
Ce: 0.7462 0.2820 0.5000  2 Tl 3.18, 3 Pb 3.26-3.33, 4 Ce 3.51-3.52
Ce: 0.1857 0.0429 0.3543  1 Ce 2.72
Ce: 0.9828 0.2737 0.1411  1 Ce 2.82

Values from the calculation:
Space-group type: Ima2 (46)
E_tot, eV/atom: -4.828
Spin magnetization, μB/f.u.: 3.59

---

Computed formation energy (eV/atom) in order:
-0.1462, -0.0164, -0.0431, -0.1642, -0.1950, -0.1813